Record 1
VASP calculation (PBEsol) on crystalline Zr2BeCl at its relaxed geometry.

The space group is Pmmm (No. 47) and the conventional cell measures 3.233, 4.168 and 5.313 Å, with angles of 90.00, 90.00 and 90.00 degrees. The asymmetric unit holds Zr at (0.000, 0.000, 0.000), Zr at (0.500, 0.000, 0.500), Be at (0.000, 0.500, 0.500) and Cl at (0.500, 0.500, 0.000).

For the mass density, the calculation gives 5264 kg/m3. Its energy above the lowest structure with this stoichiometry is 470.6 meV/atom. The formation energy (no corrections) is 0.029 eV per atom. Its total magnetization is 0.000 μB per atom.

***

Record 2
VASP calculation (PBEsol) on crystalline Zr2BeCl at its relaxed geometry.

The space group is P4mm (No. 99) and the conventional cell measures 3.078, 3.078 and 8.797 Å, with angles of 90.00, 90.00 and 90.00 degrees. The asymmetric unit holds Zr at (0.000, 0.000, 0.000), Zr at (0.500, 0.500, 0.274), Be at (0.000, 0.000, 0.452) and Cl at (0.500, 0.500, 0.818).

For the mass density, the calculation gives 4520 kg/m3. Its energy above the lowest structure with this stoichiometry is 244.1 meV/atom. The formation energy (no corrections) is -0.198 eV per atom. Its total magnetization is 0.000 μB per atom.

***

Record 3
VASP calculation (PBEsol) on crystalline Zr2BeCl at its relaxed geometry.

The space group is F-43m (No. 216) and the conventional cell measures 6.523, 6.523 and 6.523 Å, with angles of 90.00, 90.00 and 90.00 degrees. The asymmetric unit holds Zr at (0.000, 0.000, 0.000), Zr at (0.250, 0.250, 0.250), Be at (0.250, 0.250, 0.750) and Cl at (0.000, 0.000, 0.500).

For the mass density, the calculation gives 5430 kg/m3. Its energy above the lowest structure with this stoichiometry is 1064.8 meV/atom. The formation energy (no corrections) is 0.623 eV per atom. Its total magnetization is 0.000 μB per atom.

***

Record 4
VASP calculation (PBEsol) on crystalline Zr4BeCl at its relaxed geometry.

The space group is F-43m (No. 216) and the conventional cell measures 7.961, 7.961 and 7.961 Å, with angles of 90.00, 90.00 and 90.00 degrees. The asymmetric unit holds Zr at (0.122, 0.122, 0.378), Be at (0.250, 0.250, 0.750) and Cl at (0.000, 0.000, 0.000).

For the mass density, the calculation gives 5389 kg/m3. The formation energy (no corrections) is 0.669 eV per atom. Its total magnetization is 0.000 μB per atom.

***

Record 5
VASP calculation (PBEsol) on crystalline BeCo2 at its relaxed geometry.

The space group is Immm (No. 71) and the conventional cell measures 2.400, 3.894 and 6.190 Å, with angles of 90.00, 90.00 and 90.00 degrees. The asymmetric unit holds Be at (0.000, 0.000, 0.000) and Co at (0.000, 0.500, 0.186).

For the mass density, the calculation gives 7283 kg/m3. The calculation puts the formation energy at 0.1 eV per formula unit. Its total magnetization is 0.794 μB per atom.

***

Record 6
VASP calculation (PBEsol) on crystalline BeCo5 at its relaxed geometry.

The space group is Cmmm (No. 65) and the conventional cell measures 3.456, 9.989 and 3.443 Å, with angles of 90.00, 90.00 and 90.00 degrees. The asymmetric unit holds Be at (0.000, 0.000, 0.000), Co at (0.000, 0.164, 0.500), Co at (0.000, 0.333, 0.000) and Co at (0.000, 0.500, 0.500).

For the mass density, the calculation gives 8485 kg/m3. The calculation puts the formation energy at -0.1 eV per formula unit. Its energy above the lowest structure with this stoichiometry is 56.3 meV/atom. Its total magnetization is 1.195 μB per atom.

***

Record 7
VASP calculation (PBEsol) on crystalline Be5Co at its relaxed geometry.

The space group is P-62m (No. 189) and the conventional cell measures 3.9576, 3.9576 and 3.5794 Å, with angles of 90.00, 90.00 and 120.00 degrees. The asymmetric unit holds Be at (0.0000, 0.3405, 0.0000), Be at (0.3333, 0.6667, 0.5000) and Co at (0.0000, 0.0000, 0.5000).

For the mass density, the calculation gives 3557 kg/m3. The calculation puts the formation energy at -0.8 eV per formula unit. Its total magnetization is 0.000 μB per atom.

***

Record 8
VASP calculation (PBEsol) on crystalline BeCo3 at its relaxed geometry.

The space group is P4/mmm (No. 123) and the conventional cell measures 2.551, 2.551 and 5.784 Å, with angles of 90.00, 90.00 and 90.00 degrees. The asymmetric unit holds Be at (0.000, 0.000, 0.000), Co at (0.000, 0.000, 0.500) and Co at (0.500, 0.500, 0.227).

For the mass density, the calculation gives 8200 kg/m3. The calculation puts the formation energy at -0.5 eV per formula unit. Its total magnetization is 0.949 μB per atom.

***

Record 9
VASP calculation (PBEsol) on crystalline BeCo5 at its relaxed geometry.

The space group is P6/mmm (No. 191) and the conventional cell measures 4.4321, 4.4321 and 4.0436 Å, with angles of 90.00, 90.00 and 120.00 degrees. The asymmetric unit holds Be at (0.0000, 0.0000, 0.0000), Co at (0.0000, 0.5000, 0.5000) and Co at (0.3333, 0.6667, 0.0000).

For the mass density, the calculation gives 7331 kg/m3. The calculation puts the formation energy at 2.5 eV per formula unit. Its energy above the lowest structure with this stoichiometry is 496.3 meV/atom. Its total magnetization is 1.291 μB per atom.

***

Record 10
VASP calculation (PBEsol) on crystalline BeCo5 at its relaxed geometry.

The space group is P4/mmm (No. 123) and the conventional cell measures 2.484, 2.484 and 9.452 Å, with angles of 90.00, 90.00 and 90.00 degrees. The asymmetric unit holds Be at (0.000, 0.000, 0.000), Co at (0.000, 0.000, 0.319), Co at (0.500, 0.500, 0.146) and Co at (0.500, 0.500, 0.500).

For the mass density, the calculation gives 8647 kg/m3. The calculation puts the formation energy at -0.5 eV per formula unit. Its energy above the lowest structure with this stoichiometry is 0.0 meV/atom. Its total magnetization is 1.174 μB per atom.

***

Record 11
VASP calculation (PBEsol) on crystalline BeCo at its relaxed geometry.

The space group is Fd-3m (No. 227, origin choice 2) and the conventional cell measures 5.240, 5.240 and 5.240 Å, with angles of 90.00, 90.00 and 90.00 degrees. The asymmetric unit holds Be at (0.125, 0.125, 0.125) and Co at (0.125, 0.125, 0.625).

For the mass density, the calculation gives 6274 kg/m3. The calculation puts the formation energy at -0.3 eV per formula unit. Its total magnetization is 0.571 μB per atom.

***

Record 12
VASP calculation (PBEsol) on crystalline Be8Co at its relaxed geometry.

The space group is I4/mmm (No. 139) and the conventional cell measures 7.335, 7.335 and 2.678 Å, with angles of 90.00, 90.00 and 90.00 degrees. The asymmetric unit holds Be at (0.000, 0.333, 0.000), Be at (0.166, 0.166, 0.500) and Co at (0.000, 0.000, 0.000).

For the mass density, the calculation gives 3020 kg/m3. The calculation puts the formation energy at -0.9 eV per formula unit. Its total magnetization is 0.040 μB per atom.

***

Record 13
VASP calculation (PBEsol) on crystalline Be5Co at its relaxed geometry.

The space group is F-43m (No. 216) and the conventional cell measures 5.747, 5.747 and 5.747 Å, with angles of 90.00, 90.00 and 90.00 degrees. The asymmetric unit holds Be at (0.000, 0.000, 0.000), Be at (0.124, 0.124, 0.376) and Co at (0.250, 0.250, 0.750).

For the mass density, the calculation gives 3640 kg/m3. The calculation puts the formation energy at -1.1 eV per formula unit. Its total magnetization is 0.000 μB per atom.

***

Record 14
VASP calculation (PBEsol) on crystalline BeCo3 at its relaxed geometry.

The space group is P-6m2 (No. 187) and the conventional cell measures 2.4302, 2.4302 and 7.4709 Å, with angles of 90.00, 90.00 and 120.00 degrees. The asymmetric unit holds Be at (0.0000, 0.0000, 0.0000), Co at (0.0000, 0.0000, 0.5000) and Co at (0.3333, 0.6667, 0.2385).

For the mass density, the calculation gives 8075 kg/m3. The calculation puts the formation energy at -0.3 eV per formula unit. Its total magnetization is 0.885 μB per atom.

***

Record 15
VASP calculation (PBEsol) on crystalline BeCo3 at its relaxed geometry.

The space group is Immm (No. 71) and the conventional cell measures 2.611, 3.829 and 7.613 Å, with angles of 90.00, 90.00 and 90.00 degrees. The asymmetric unit holds Be at (0.000, 0.000, 0.000), Co at (0.000, 0.000, 0.500) and Co at (0.000, 0.500, 0.262).

For the mass density, the calculation gives 8109 kg/m3. The calculation puts the formation energy at -0.4 eV per formula unit. Its total magnetization is 0.965 μB per atom.

***

Record 16
VASP calculation (PBEsol) on crystalline BeCo2 at its relaxed geometry.

The space group is I4/mcm (No. 140) and the conventional cell measures 5.126, 5.126 and 4.171 Å, with angles of 90.00, 90.00 and 90.00 degrees. The asymmetric unit holds Be at (0.000, 0.000, 0.250) and Co at (0.156, 0.344, 0.000).

For the mass density, the calculation gives 7690 kg/m3. The calculation puts the formation energy at -0.4 eV per formula unit. Its total magnetization is 0.806 μB per atom.

***

Record 17
VASP calculation (PBEsol) on crystalline BeCo3 at its relaxed geometry.

The space group is Fm-3m (No. 225) and the conventional cell measures 5.362, 5.362 and 5.362 Å, with angles of 90.00, 90.00 and 90.00 degrees. The asymmetric unit holds Be at (0.000, 0.000, 0.000), Co at (0.000, 0.000, 0.500) and Co at (0.250, 0.250, 0.250).

For the mass density, the calculation gives 8008 kg/m3. The calculation puts the formation energy at -0.3 eV per formula unit. Its total magnetization is 1.013 μB per atom.

***

Record 18
VASP calculation (PBEsol) on crystalline Be5Co at its relaxed geometry.

The space group is P4/mmm (No. 123) and the conventional cell measures 2.578, 2.578 and 7.334 Å, with angles of 90.00, 90.00 and 90.00 degrees. The asymmetric unit holds Be at (0.000, 0.000, 0.000), Be at (0.000, 0.000, 0.339), Be at (0.500, 0.500, 0.170) and Co at (0.500, 0.500, 0.500).

For the mass density, the calculation gives 3543 kg/m3. The calculation puts the formation energy at -0.7 eV per formula unit. Its total magnetization is 0.000 μB per atom.

***

Record 19
VASP calculation (PBEsol) on crystalline Be3Co4 at its relaxed geometry.

The space group is I4/mmm (No. 139) and the conventional cell measures 2.554, 2.554 and 19.081 Å, with angles of 90.00, 90.00 and 90.00 degrees. The asymmetric unit holds Be at (0.000, 0.000, 0.000), Be at (0.000, 0.000, 0.282), Co at (0.000, 0.000, 0.151) and Co at (0.000, 0.000, 0.430).

For the mass density, the calculation gives 7010 kg/m3. The calculation puts the formation energy at -1.3 eV per formula unit. Its total magnetization is 0.607 μB per atom.

***

Record 20
VASP calculation (PBEsol) on crystalline BeCo3 at its relaxed geometry.

The space group is Pmmn (No. 59, origin choice 2) and the conventional cell measures 3.897, 4.800 and 4.130 Å, with angles of 90.00, 90.00 and 90.00 degrees. The asymmetric unit holds Be at (0.250, 0.250, 0.170), Co at (0.250, 0.501, 0.670) and Co at (0.250, 0.750, 0.157).

For the mass density, the calculation gives 7988 kg/m3. The calculation puts the formation energy at -0.3 eV per formula unit. Its total magnetization is 1.030 μB per atom.

***

Record 21
VASP calculation (PBEsol) on crystalline Be5Co3 at its relaxed geometry.

The space group is Cmmm (No. 65) and the conventional cell measures 5.224, 7.026 and 3.587 Å, with angles of 90.00, 90.00 and 90.00 degrees. The asymmetric unit holds Be at (0.000, 0.000, 0.000), Be at (0.224, 0.500, 0.500), Be at (0.250, 0.250, 0.000), Co at (0.000, 0.231, 0.500) and Co at (0.000, 0.500, 0.000).

For the mass density, the calculation gives 5596 kg/m3. The calculation puts the formation energy at -2.6 eV per formula unit. Its total magnetization is 0.000 μB per atom.

***

Record 22
VASP calculation (PBEsol) on crystalline BeCo5 at its relaxed geometry.

The space group is Amm2 (No. 38) and the conventional cell measures 3.908, 2.447 and 12.375 Å, with angles of 90.00, 90.00 and 90.00 degrees. The asymmetric unit holds Be at (0.000, 0.000, 0.000), Co at (0.000, 0.000, 0.338), Co at (0.000, 0.000, 0.666), Co at (0.500, 0.000, 0.111), Co at (0.500, 0.000, 0.450) and Co at (0.500, 0.000, 0.780).

For the mass density, the calculation gives 8521 kg/m3. The calculation puts the formation energy at -0.3 eV per formula unit. Its energy above the lowest structure with this stoichiometry is 30.4 meV/atom. Its total magnetization is 1.162 μB per atom.

***

Record 23
VASP calculation (PBEsol) on crystalline Be5Co at its relaxed geometry.

The space group is C2/m (No. 12) and the conventional cell measures 7.881, 2.637 and 4.904 Å, with angles of 90.00, 108.54 and 90.00 degrees. The asymmetric unit holds Be at (0.000, 0.000, 0.000), Be at (0.166, 0.500, 0.830), Be at (0.167, 0.500, 0.337) and Co at (0.000, 0.000, 0.500).

For the mass density, the calculation gives 3574 kg/m3. The calculation puts the formation energy at -0.9 eV per formula unit. Its total magnetization is 0.000 μB per atom.

***

Record 24
VASP calculation (PBEsol) on crystalline BeCo2 at its relaxed geometry.

The space group is P6_3/mmc (No. 194) and the conventional cell measures 3.7805, 3.7805 and 4.4969 Å, with angles of 90.00, 90.00 and 120.00 degrees. The asymmetric unit holds Be at (0.3333, 0.6667, 0.2500), Co at (0.0000, 0.0000, 0.0000) and Co at (0.3333, 0.6667, 0.7500).

For the mass density, the calculation gives 7570 kg/m3. The calculation puts the formation energy at -0.2 eV per formula unit. Its total magnetization is 0.696 μB per atom.

***

Record 25
VASP calculation (PBEsol) on crystalline BeCo5 at its relaxed geometry.

The space group is Cm (No. 8) and the conventional cell measures 8.860, 2.468 and 5.606 Å, with angles of 90.00, 105.56 and 90.00 degrees. The asymmetric unit holds Be at (0.000, 0.000, 0.000), Co at (0.051, 0.000, 0.602), Co at (0.167, 0.500, 0.329), Co at (0.213, 0.500, 0.933), Co at (0.336, 0.000, 0.672) and Co at (0.386, 0.000, 0.260).

For the mass density, the calculation gives 8541 kg/m3. The calculation puts the formation energy at -0.2 eV per formula unit. Its energy above the lowest structure with this stoichiometry is 37.0 meV/atom. Its total magnetization is 1.139 μB per atom.

***

Record 26
VASP calculation (PBEsol) on crystalline BeCo2 at its relaxed geometry.

The space group is P-62m (No. 189) and the conventional cell measures 6.2851, 6.2851 and 2.4378 Å, with angles of 90.00, 90.00 and 120.00 degrees. The asymmetric unit holds Be at (0.0000, 0.0000, 0.0000), Be at (0.3333, 0.6667, 0.5000), Co at (0.0000, 0.3694, 0.0000) and Co at (0.0000, 0.7041, 0.5000).

For the mass density, the calculation gives 7579 kg/m3. The calculation puts the formation energy at -0.4 eV per formula unit. Its total magnetization is 0.814 μB per atom.

***

Record 27
VASP calculation (PBEsol) on crystalline BeCo8 at its relaxed geometry.

The space group is I4/mmm (No. 139) and the conventional cell measures 7.264, 7.264 and 3.425 Å, with angles of 90.00, 90.00 and 90.00 degrees. The asymmetric unit holds Be at (0.000, 0.000, 0.000), Co at (0.000, 0.334, 0.000) and Co at (0.166, 0.166, 0.500).

For the mass density, the calculation gives 8829 kg/m3. The calculation puts the formation energy at -0.1 eV per formula unit. Its total magnetization is 1.318 μB per atom.